Entry from Alexandria via LeMat-Bulk: BPWF2 after structural relaxation (GGA+U).

Summary:
Total moment, μB/cell: 0.00
SG: P4/mmm
Volume, A^3/atom: 14.4
Total energy, eV per atom: -4.43

Geometry as POSCAR:
```
BPWF2
1.0
-2.415 2.812 1.435
-2.454 -3.192 2.127
2.319 0.355 3.208
B P F W
1 1 2 1
Direct
0.000 0.500 0.000 B
0.500 0.500 0.500 P
0.000 0.000 0.500 F
0.500 0.000 0.000 F
0.000 0.000 0.000 W
```